(1)
BaCoBi2 | PBE | relaxed

a = 5.4950 Å, b = 5.4950 Å, c = 5.4950 Å
α = 60.00°, β = 60.00°, γ = 60.00°
Closest atoms and distances in Å follow each position.
Positions (direct):
Co  0.0000  0.0000  0.0000  8 Bi 3.36
Bi  0.2500  0.2500  0.2500  4 Ba 3.36, 4 Co 3.36
Bi  0.7500  0.7500  0.7500  4 Co 3.36, 4 Ba 3.36
Ba  0.5000  0.5000  0.5000  8 Bi 3.36



(2)
BaCo3Bi | PBE | relaxed

a = 4.9216 Å, b = 4.9216 Å, c = 4.9216 Å
α = 90.00°, β = 90.00°, γ = 90.00°
Closest atoms and distances in Å follow each position.
Positions (direct):
Co  0.0000  0.5000  0.0000  2 Ba 2.46
Co  0.0000  0.0000  0.5000  2 Ba 2.46
Co  0.5000  0.0000  0.0000  2 Ba 2.46
Bi  0.5000  0.5000  0.5000  12 Co 3.48
Ba  0.0000  0.0000  0.0000  6 Co 2.46

## Properties
The calculation puts the offset from the most stable computed form at 1.0658 eV per atom.



(3)
Ba2CoBi | PBE | relaxed

a = 11.8195 Å, b = 11.8195 Å, c = 8.7218 Å
α = 47.34°, β = 47.34°, γ = 90.00°
Closest atoms and distances in Å follow each position.
Positions (direct):
Co  0.5000  0.5000  0.0000  2 Bi 2.49
Co  0.2500  0.7500  0.5000  2 Bi 2.49
Bi  0.0000  0.0000  0.0000  2 Co 2.49
Bi  0.7500  0.2500  0.5000  2 Co 2.49
Ba  0.4428  0.1250  0.2500  2 Co 3.12
Ba  0.3072  0.6250  0.2500  2 Co 3.12
Ba  0.3750  0.5572  0.7500  2 Co 3.12
Ba  0.8750  0.6928  0.7500  2 Co 3.12



(4)
Ba2CoBi4 | PBE | relaxed

a = 5.2628 Å, b = 5.2628 Å, c = 9.6473 Å
α = 74.17°, β = 74.17°, γ = 90.00°
Closest atoms and distances in Å follow each position.
Positions (direct):
Co  0.0000  0.0000  0.0000  6 Bi 2.63-2.68
Bi  0.8495  0.8495  0.3010  1 Co 2.68
Bi  0.1505  0.1505  0.6990  1 Co 2.68
Bi  0.0000  0.5000  0.0000  2 Co 2.63
Bi  0.5000  0.0000  0.0000  2 Co 2.63
Ba  0.6505  0.6505  0.6991  9 Bi 3.54-3.75
Ba  0.3495  0.3495  0.3009  9 Bi 3.54-3.75



(5)
BaCo2Bi2 | PBE | relaxed

a = 4.9032 Å, b = 4.9032 Å, c = 6.1796 Å
α = 66.63°, β = 66.63°, γ = 90.00°
Closest atoms and distances in Å follow each position.
Positions (direct):
Co  0.3863  0.3863  0.2274  1 Co 2.33
Co  0.6137  0.6137  0.7726  1 Co 2.33
Bi  0.7500  0.2500  0.5000  4 Co 2.82
Bi  0.2500  0.7500  0.5000  4 Co 2.82
Ba  0.0000  0.0000  0.0000  8 Bi 3.54, 10 Co 3.66-3.95



(6)
BaCo3Bi | PBE | relaxed

a = 4.9900 Å, b = 4.9900 Å, c = 4.9900 Å
α = 90.00°, β = 90.00°, γ = 90.00°
Closest atoms and distances in Å follow each position.
Positions (direct):
Co  0.0000  0.5000  0.0000  2 Bi 2.49
Co  0.0000  0.0000  0.5000  2 Bi 2.49
Co  0.5000  0.0000  0.0000  2 Bi 2.49
Bi  0.0000  0.0000  0.0000  6 Co 2.49
Ba  0.5000  0.5000  0.5000  12 Co 3.53

## Properties
The calculation puts the offset from the most stable computed form at 0.0000 eV per atom.



(7)
BaCo2Bi | PBE | relaxed

a = 5.0414 Å, b = 5.0414 Å, c = 9.5760 Å
α = 74.74°, β = 74.74°, γ = 90.00°
Closest atoms and distances in Å follow each position.
Positions (direct):
Co  0.8751  0.1250  0.2500  2 Co 2.52, 2 Bi 2.55
Co  0.8749  0.6250  0.2500  2 Co 2.52, 2 Bi 2.55
Co  0.3750  0.1249  0.7500  2 Co 2.52, 2 Bi 2.55
Co  0.8750  0.1251  0.7500  2 Co 2.52, 2 Bi 2.55
Bi  0.0000  0.0000  0.0000  4 Co 2.55
Bi  0.7500  0.2500  0.5000  4 Co 2.55
Ba  0.5000  0.5000  0.0000  4 Bi 3.56, 8 Co 3.59
Ba  0.2500  0.7500  0.5000  4 Bi 3.56, 8 Co 3.59



(8)
BaCoBi2 | PBE | relaxed

a = 5.9424 Å, b = 5.9424 Å, c = 9.3788 Å
α = 71.53°, β = 71.53°, γ = 90.00°
Closest atoms and distances in Å follow each position.
Positions (direct):
Co  0.5000  0.5000  0.0000  4 Bi 2.62
Co  0.2500  0.7500  0.5000  4 Bi 2.62
Bi  0.4603  0.1250  0.2500  2 Co 2.62
Bi  0.2897  0.6250  0.2500  2 Co 2.62
Bi  0.3750  0.5397  0.7500  2 Co 2.62
Bi  0.8750  0.7103  0.7500  2 Co 2.62
Ba  0.0000  0.0000  0.0000  4 Bi 3.56
Ba  0.7500  0.2500  0.5000  4 Bi 3.56



(9)
CsBaCo2Bi | PBE | relaxed

a = 5.0517 Å, b = 6.4063 Å, c = 5.0517 Å
α = 90.00°, β = 90.00°, γ = 90.00°
Closest atoms and distances in Å follow each position.
Positions (direct):
Cs  0.0000  0.0000  0.0000  4 Co 2.53
Co  0.0000  0.0000  0.5000  2 Cs 2.53
Co  0.5000  0.0000  0.0000  2 Cs 2.53
Bi  0.5000  0.5000  0.5000  4 Ba 3.57
Ba  0.0000  0.5000  0.0000  2 Cs 3.20, 4 Bi 3.57



Number 1: formation energy 235 meV per atom. Number 2: formation energy 1910 meV per atom. Number 3: formation energy -71 meV per atom. Number 4: formation energy -304 meV per atom. Number 5: formation energy 39 meV per atom. Number 6: formation energy 844 meV per atom. Number 7: formation energy 288 meV per atom. Number 8: formation energy 13 meV per atom. Number 9: formation energy 1501 meV per atom.